BaSc2Be, relaxed, DFT PBE; symmetry = P4/mmm; total moment = 0.00 μB per atom; uncorrected energy = -4.339 eV per atom
1.0
3.3454 0.0000 0.0000
0.0000 3.3319 0.3124
0.0000 2.4723 9.4786
Be Ba Sc
1 1 2
Cartesian
1.6727 4.3531 7.3433
1.6727 1.4510 2.4478
3.3454 2.5518 8.6418
0.0000 2.8225 5.7324



Ac4Hg5Au3, relaxed, DFT PBE; symmetry = C2/m; total moment = 0.00 μB per atom; uncorrected energy = -2.667 eV per atom
1.0
5.3455 0.0000 0.0000
2.6727 5.1924 -2.1151
2.6727 -0.9360 13.1745
Au Hg Ac
3 5 4
Cartesian
2.6727 2.1282 5.5297
5.3455 4.1085 0.9617
5.3455 0.1480 10.0977
5.3455 1.5764 2.6117
5.3455 2.6800 8.4476
2.6727 1.0728 1.0852
5.3455 2.1282 5.5297
8.0182 3.1836 9.9742
2.6727 3.8030 -1.0829
2.6727 0.3467 8.1449
8.0182 3.9097 2.9144
8.0182 0.4534 12.1423



TcTe2CI, relaxed, DFT PBE; energy relative to the elements, uncorrected = 1745 meV/atom; symmetry = P4/mmm; total moment = 0.34 μB per atom; relative energy among the computed polymorphs = 13.3 kJ/mol of atoms
1.0
-1.6500 3.5885 3.2212
-3.2444 -3.3448 2.0644
4.0710 -1.5773 3.8424
C Tc I Te
1 1 1 2
Cartesian
-0.4117 -0.6668 4.5640
0.0000 0.0000 0.0000
2.0355 -0.7886 1.9212
-0.8250 1.7942 1.6106
-1.6222 -1.6724 1.0322



VCuPt, relaxed, DFT PBE; symmetry = P6_3/mmc; total moment = 0.00 μB per atom; relative energy among the computed polymorphs = 10.4 kJ/mol of atoms
1.0
-4.2333 -0.2199 -0.8046
2.7370 -2.5685 -2.1279
-0.5208 -3.6521 3.7384
Pt V Cu
2 2 2
Cartesian
-2.0411 -1.9154 -0.3109
0.0240 -4.5251 1.1168
-2.2996 -3.7422 1.5580
0.2825 -2.6984 -0.7520
-0.2604 -1.8261 1.8692
0.0000 0.0000 0.0000



NdSm5Pb4, relaxed, DFT PBE; symmetry = C2/m; total moment = 0.00 μB per atom; uncorrected energy = -4.697 eV per atom
1.0
-2.4209 2.8482 4.0418
-0.8219 -6.1878 3.8681
9.4327 6.0400 -2.3559
Pb Nd Sm
4 1 5
Cartesian
-0.0701 -1.5366 1.0408
6.2601 4.2369 4.5133
4.5738 -0.7281 3.2525
1.6162 3.4285 2.3015
-1.2104 1.4241 2.0209
2.0455 -2.7242 3.1448
2.4637 0.4719 1.1431
4.1445 5.4246 2.4092
3.7263 2.2284 4.4110
-1.6214 -1.6698 3.9550



AgSe3, relaxed, DFT PBE; energy relative to the elements, uncorrected = 425 meV/atom; symmetry = P4/mmm; total moment = 0.00 μB per atom
1.0
4.9892 0.0024 0.0000
-0.0056 4.9892 0.0000
0.0000 0.0000 3.2683
Se Ag
3 1
Cartesian
2.4946 0.0012 1.6342
2.4918 2.4958 0.0000
-0.0028 2.4946 1.6342
0.0000 0.0000 0.0000